[1]
Compound: Mn2Fe3Ru
Source: the Alexandria database
Functional: GGA-PBE
Structure: optimized geometry

```
data_Mn2Fe3Ru
_chemical_formula_sum 'Mn8 Fe12 Ru4'
_cell_length_a 12.103
_cell_length_b 4.015
_cell_length_c 7.142
_cell_angle_alpha 90.00
_cell_angle_beta 124.11
_cell_angle_gamma 90.00
_symmetry_space_group_name_H-M 'C 1 2/m 1'
_symmetry_Int_Tables_number 12
_symmetry_space_group_name_Hall '-C 2y'
loop_
_atom_site_label
_atom_site_type_symbol
_atom_site_fract_x
_atom_site_fract_y
_atom_site_fract_z
Mn1 Mn 0.040 0.000 0.370
Mn2 Mn 0.211 0.500 0.376
Fe1 Fe 0.041 0.500 0.879
Fe2 Fe 0.121 0.000 0.121
Fe3 Fe 0.211 0.000 0.884
Ru1 Ru 0.129 0.500 0.624
```

Output
calculated formation energy	67	kJ/mol of formula units
energy	-8.717	eV per atom

[2]
Compound: Mn2AsW
Source: the Alexandria database
Functional: GGA-PBE
Structure: optimized geometry

```
data_Mn2AsW
_chemical_formula_sum 'Mn4 As2 W2'
_cell_length_a 3.258
_cell_length_b 4.424
_cell_length_c 7.833
_cell_angle_alpha 90.00
_cell_angle_beta 90.00
_cell_angle_gamma 90.00
_symmetry_space_group_name_H-M 'C m m m'
_symmetry_Int_Tables_number 65
_symmetry_space_group_name_Hall '-C 2 2'
loop_
_atom_site_label
_atom_site_type_symbol
_atom_site_fract_x
_atom_site_fract_y
_atom_site_fract_z
Mn1 Mn 0.000 0.000 0.240
As1 As 0.000 0.500 0.000
W1 W 0.000 0.500 0.500
```

Output
calculated formation energy	69	kJ/mol of formula units
energy	-8.807	eV per atom

[3]
Compound: Hf2BeGaIr2
Source: the Alexandria database
Functional: GGA-PBE
Structure: optimized geometry

```
data_Hf2BeGaIr2
_chemical_formula_sum 'Hf8 Be4 Ga4 Ir8'
_cell_length_a 5.381
_cell_length_b 13.796
_cell_length_c 5.262
_cell_angle_alpha 90.00
_cell_angle_beta 90.00
_cell_angle_gamma 90.00
_symmetry_space_group_name_H-M 'I b a m'
_symmetry_Int_Tables_number 72
_symmetry_space_group_name_Hall '-I 2 2c'
loop_
_atom_site_label
_atom_site_type_symbol
_atom_site_fract_x
_atom_site_fract_y
_atom_site_fract_z
Hf1 Hf 0.195 0.176 0.000
Be1 Be 0.000 0.500 0.250
Ga1 Ga 0.000 0.000 0.250
Ir1 Ir 0.191 0.373 0.000
```

Output
calculated formation energy	-419	kJ/mol of formula units
energy	-8.120	eV per atom

[4]
Compound: SrY2Pb
Source: the Alexandria database
Functional: GGA-PBE
Structure: optimized geometry

```
data_SrY2Pb
_chemical_formula_sum 'Sr2 Y4 Pb2'
_cell_length_a 4.005
_cell_length_b 5.709
_cell_length_c 12.029
_cell_angle_alpha 90.00
_cell_angle_beta 90.00
_cell_angle_gamma 90.00
_symmetry_space_group_name_H-M 'I m m m'
_symmetry_Int_Tables_number 71
_symmetry_space_group_name_Hall '-I 2 2'
loop_
_atom_site_label
_atom_site_type_symbol
_atom_site_fract_x
_atom_site_fract_y
_atom_site_fract_z
Sr1 Sr 0.000 0.000 0.000
Y1 Y 0.000 0.500 0.211
Pb1 Pb 0.000 0.000 0.500
```

Output
calculated formation energy	-82	kJ/mol of formula units
energy	-4.791	eV per atom

[5]
Compound: Pu5P4H
Source: the Alexandria database
Functional: GGA-PBE
Structure: optimized geometry

```
data_Pu5P4H
_chemical_formula_sum 'Pu10 P8 H2'
_cell_length_a 8.783
_cell_length_b 8.783
_cell_length_c 5.611
_cell_angle_alpha 90.00
_cell_angle_beta 90.00
_cell_angle_gamma 90.00
_symmetry_space_group_name_H-M 'I 4'
_symmetry_Int_Tables_number 79
_symmetry_space_group_name_Hall 'I 4'
loop_
_atom_site_label
_atom_site_type_symbol
_atom_site_fract_x
_atom_site_fract_y
_atom_site_fract_z
Pu1 Pu 0.000 0.000 0.000
Pu2 Pu 0.099 0.709 0.514
P1 P 0.095 0.697 0.014
H1 H 0.000 0.000 0.539
```

Output
energy	-10.534	eV per atom

[6]
Compound: CsPaO3
Source: the Alexandria database
Functional: GGA-PBE
Structure: optimized geometry

```
data_CsPaO3
_chemical_formula_sum 'Cs4 Pa4 O12'
_cell_length_a 15.558
_cell_length_b 3.616
_cell_length_c 8.409
_cell_angle_alpha 90.00
_cell_angle_beta 101.81
_cell_angle_gamma 90.00
_symmetry_space_group_name_H-M 'C 1 2/m 1'
_symmetry_Int_Tables_number 12
_symmetry_space_group_name_Hall '-C 2y'
loop_
_atom_site_label
_atom_site_type_symbol
_atom_site_fract_x
_atom_site_fract_y
_atom_site_fract_z
Cs1 Cs 0.123 0.000 0.383
Pa1 Pa 0.156 0.500 0.861
O1 O 0.075 0.000 0.780
O2 O 0.192 0.500 0.650
O3 O 0.197 0.000 0.042
```

Output
uncorrected formation energy	-2.848	eV per atom
energy	-7.893	eV per atom

[7]
Compound: MgPd3N
Source: the Alexandria database
Functional: GGA-PBE
Structure: optimized geometry

```
data_MgPd3N
_chemical_formula_sum 'Mg1 Pd3 N1'
_cell_length_a 4.174
_cell_length_b 4.174
_cell_length_c 4.174
_cell_angle_alpha 90.00
_cell_angle_beta 90.00
_cell_angle_gamma 90.00
_symmetry_space_group_name_H-M 'P m -3 m'
_symmetry_Int_Tables_number 221
_symmetry_space_group_name_Hall '-P 4 2 3'
loop_
_atom_site_label
_atom_site_type_symbol
_atom_site_fract_x
_atom_site_fract_y
_atom_site_fract_z
Mg1 Mg 0.000 0.000 0.000
Pd1 Pd 0.000 0.500 0.500
N1 N 0.500 0.500 0.500
```

Output
uncorrected formation energy	-0.123	eV per atom
energy	-5.222	eV per atom

[8]
Compound: TaTl2Os
Source: the Alexandria database
Functional: GGA-PBE
Structure: optimized geometry

```
data_TaTl2Os
_chemical_formula_sum 'Ta2 Tl4 Os2'
_cell_length_a 5.730
_cell_length_b 8.878
_cell_length_c 3.105
_cell_angle_alpha 90.00
_cell_angle_beta 90.00
_cell_angle_gamma 90.00
_symmetry_space_group_name_H-M 'C m m m'
_symmetry_Int_Tables_number 65
_symmetry_space_group_name_Hall '-C 2 2'
loop_
_atom_site_label
_atom_site_type_symbol
_atom_site_fract_x
_atom_site_fract_y
_atom_site_fract_z
Ta1 Ta 0.000 0.000 0.000
Tl1 Tl 0.250 0.250 0.500
Os1 Os 0.000 0.500 0.000
```

Output
calculated formation energy	398	kJ/mol of formula units
energy	-5.921	eV per atom

[9]
Compound: CaReH4ClO6
Source: the Alexandria database
Functional: GGA-PBE
Structure: optimized geometry

```
data_CaReH4ClO6
_chemical_formula_sum 'Ca4 Re4 H16 Cl4 O24'
_cell_length_a 7.112
_cell_length_b 14.610
_cell_length_c 6.725
_cell_angle_alpha 90.00
_cell_angle_beta 90.00
_cell_angle_gamma 90.00
_symmetry_space_group_name_H-M 'C m c m'
_symmetry_Int_Tables_number 63
_symmetry_space_group_name_Hall '-C 2c 2'
loop_
_atom_site_label
_atom_site_type_symbol
_atom_site_fract_x
_atom_site_fract_y
_atom_site_fract_z
Ca1 Ca 0.000 0.092 0.250
Re1 Re 0.000 0.258 0.750
H1 H 0.209 0.458 0.070
Cl1 Cl 0.000 0.393 0.250
O1 O 0.000 0.187 0.541
O2 O 0.200 0.328 0.750
O3 O 0.203 0.000 0.000
```

Output
energy	-6.198	eV per atom

[10]
Compound: BaTlSI
Source: the Alexandria database
Functional: GGA-PBE
Structure: optimized geometry

```
data_BaTlSI
_chemical_formula_sum 'Ba4 Tl4 S4 I4'
_cell_length_a 8.090
_cell_length_b 8.090
_cell_length_c 8.090
_cell_angle_alpha 90.00
_cell_angle_beta 90.00
_cell_angle_gamma 90.00
_symmetry_space_group_name_H-M 'F -4 3 m'
_symmetry_Int_Tables_number 216
_symmetry_space_group_name_Hall 'F -4 2 3'
loop_
_atom_site_label
_atom_site_type_symbol
_atom_site_fract_x
_atom_site_fract_y
_atom_site_fract_z
Ba1 Ba 0.000 0.000 0.000
Tl1 Tl 0.000 0.000 0.500
S1 S 0.250 0.250 0.250
I1 I 0.250 0.250 0.750
```

Output
uncorrected formation energy	-1.127	eV per atom
energy	-3.619	eV per atom

[11]
Compound: TbAg3
Source: the Alexandria database
Functional: GGA-PBE
Structure: optimized geometry

```
data_TbAg3
_chemical_formula_sum 'Tb4 Ag12'
_cell_length_a 6.946
_cell_length_b 6.946
_cell_length_c 6.946
_cell_angle_alpha 90.00
_cell_angle_beta 90.00
_cell_angle_gamma 90.00
_symmetry_space_group_name_H-M 'F m -3 m'
_symmetry_Int_Tables_number 225
_symmetry_space_group_name_Hall '-F 4 2 3'
loop_
_atom_site_label
_atom_site_type_symbol
_atom_site_fract_x
_atom_site_fract_y
_atom_site_fract_z
Tb1 Tb 0.000 0.000 0.000
Ag1 Ag 0.000 0.000 0.500
Ag2 Ag 0.250 0.250 0.250
```

Output
calculated formation energy	-79	kJ/mol of formula units
energy	-3.501	eV per atom

[12]
Compound: LaIn3As
Source: the Alexandria database
Functional: GGA-PBE
Structure: optimized geometry

```
data_LaIn3As
_chemical_formula_sum 'La1 In3 As1'
_cell_length_a 6.034
_cell_length_b 6.034
_cell_length_c 6.034
_cell_angle_alpha 90.00
_cell_angle_beta 90.00
_cell_angle_gamma 90.00
_symmetry_space_group_name_H-M 'P m -3 m'
_symmetry_Int_Tables_number 221
_symmetry_space_group_name_Hall '-P 4 2 3'
loop_
_atom_site_label
_atom_site_type_symbol
_atom_site_fract_x
_atom_site_fract_y
_atom_site_fract_z
La1 La 0.000 0.000 0.000
In1 In 0.000 0.000 0.500
As1 As 0.500 0.500 0.500
```

Output
calculated formation energy	457	kJ/mol of formula units
energy	-2.610	eV per atom

Q: The lowest energy belongs to which entry?
A: Pu5P4H

Q: Number 7 is which compound?
A: MgPd3N

Q: Which formula does entry 5 have?
A: Pu5P4H